[1]
An optimized crystal structure of Y2MgCd5. Source: the Alexandria database, functional PBE.

**Final energy**: -20.9 eV for the cell shown
**E_form**: -0.223 eV per atom
**Space group**: I4/mmm (139)

Cell: 4.873 4.873 8.714 Å, 106.24 106.24 90.00°
Element x y z (fractional)
Cd1 0.616 0.116 0.233
Cd2 0.884 0.384 0.767
Cd3 0.500 0.500 0.000
Cd4 0.116 0.616 0.233
Cd5 0.384 0.884 0.767
Y1 0.748 0.748 0.495
Y2 0.252 0.252 0.505
Mg1 0.000 0.000 0.000

=====

[2]
An optimized crystal structure of GdDy3B. Source: the Alexandria database, functional PBE.

**Final energy**: -34.3 eV for the cell shown
**E_form**: 0.062 eV per atom
**Space group**: Pm-3m (221)

Cell: 5.163 5.163 5.163 Å, 90.00 90.00 90.00°
Element x y z (fractional)
Gd1 0.500 0.500 0.500
Dy1 0.000 0.000 0.500
Dy2 0.000 0.500 0.000
Dy3 0.500 0.000 0.000
B1 0.000 0.000 0.000

=====

[3]
An optimized crystal structure of Pr2SeS2. Source: the Alexandria database, functional PBE.

**Final energy**: -31.2 eV for the cell shown
**ΔE_f (raw)**: -1.97 eV/atom
**Space group**: Immm (71)

Cell: 4.263 5.566 7.641 Å, 111.36 106.20 90.00°
Element x y z (fractional)
S1 0.296 0.296 0.593
S2 0.704 0.704 0.407
Pr1 0.658 0.158 0.315
Pr2 0.342 0.842 0.685
Se1 0.000 0.000 0.000

=====

[4]
An optimized crystal structure of Nd3Pt. Source: the Alexandria database, functional PBE.

**Final energy**: -90.2 eV for the cell shown
**E_form**: -0.554 eV per atom
**Space group**: P1 (1)

Cell: 6.190 9.196 9.195 Å, 83.64 70.57 70.56°
Element x y z (fractional)
Nd1 0.580 0.001 0.411
Nd2 0.144 0.357 0.356
Nd3 0.010 0.411 0.999
Nd4 0.856 0.643 0.644
Nd5 0.152 0.000 0.190
Nd6 0.991 0.000 0.589
Nd7 0.847 0.810 0.001
Nd8 0.420 0.589 0.000
Nd9 0.500 0.644 0.357
Nd10 0.500 0.356 0.644
Nd11 0.340 0.999 0.811
Nd12 0.660 0.189 0.000
Pt1 0.001 0.299 0.700
Pt2 0.000 0.701 0.299
Pt3 0.299 0.700 0.701
Pt4 0.701 0.299 0.299

=====

[5]
An optimized crystal structure of BC2. Source: the Alexandria database, functional PBE.

**Final energy**: -96.3 eV for the cell shown
**E_form**: 0.348 eV per atom
**Space group**: C222 (21)

Cell: 5.796 5.796 3.855 Å, 90.00 90.00 143.70°
Element x y z (fractional)
C1 0.680 0.834 0.766
C2 0.987 0.499 0.766
C3 0.501 0.013 0.234
C4 0.333 0.167 0.773
C5 0.001 0.999 0.000
C6 0.666 0.334 0.000
C7 0.166 0.320 0.234
C8 0.833 0.667 0.227
B1 0.501 0.499 0.500
B2 0.333 0.667 0.000
B3 0.833 0.167 0.500
B4 0.166 0.834 0.500

=====

[6]
An optimized crystal structure of BaTa2W. Source: the Alexandria database, functional PBE.

**Final energy**: -35.2 eV for the cell shown
**E_form**: 0.845 eV per atom
**Space group**: C2/m (12)

Cell: 4.499 4.499 7.701 Å, 86.85 86.85 41.04°
Element x y z (fractional)
Ba1 0.250 0.250 0.250
Ta1 0.023 0.023 0.907
Ta2 0.477 0.477 0.593
W1 0.750 0.750 0.750

=====

[7]
An optimized crystal structure of ThCoCu4. Source: the Alexandria database, functional PBE.

**Final energy**: -31.2 eV for the cell shown
**E_form**: -0.042 eV per atom
**Space group**: F-43m (216)

Cell: 5.025 5.025 5.025 Å, 60.00 60.00 60.00°
Element x y z (fractional)
Cu1 0.623 0.623 0.623
Cu2 0.623 0.623 0.131
Cu3 0.131 0.623 0.623
Cu4 0.623 0.131 0.623
Co1 0.250 0.250 0.250
Th1 0.000 0.000 0.000

=====

[8]
An optimized crystal structure of BeAsRhW2. Source: the Alexandria database, functional PBE.

**Final energy**: -34.8 eV for the cell shown
**E_form**: 1.361 eV per atom
**Space group**: P4/mmm (123)

Cell: 4.789 3.964 4.789 Å, 90.00 90.00 90.00°
Element x y z (fractional)
W1 0.000 0.000 0.500
W2 0.500 0.000 0.000
Be1 0.000 0.500 0.000
As1 0.500 0.500 0.500
Rh1 0.000 0.000 0.000

=====

[9]
An optimized crystal structure of TaInPb2. Source: the Alexandria database, functional PBE.

**Final energy**: -20.7 eV for the cell shown
**E_form**: 0.337 eV per atom
**Space group**: Cmmm (65)

Cell: 3.131 3.131 11.179 Å, 90.00 90.00 104.38°
Element x y z (fractional)
Pb1 0.000 0.000 0.037
Pb2 0.000 0.000 0.463
Ta1 0.500 0.500 0.250
In1 0.500 0.500 0.750

=====

[10]
An optimized crystal structure of B5C. Source: the Alexandria database, functional PBE.

**Final energy**: -80.4 eV for the cell shown
**E_form**: 0.405 eV per atom
**Space group**: P2/m (10)

Cell: 2.818 3.392 8.944 Å, 70.93 90.00 90.00°
Element x y z (fractional)
B1 0.500 0.678 0.343
B2 0.500 0.572 0.157
B3 0.000 0.947 0.583
B4 0.000 0.859 0.068
B5 0.500 0.892 0.935
B6 0.000 0.281 0.146
B7 0.500 0.358 0.565
B8 0.000 0.303 0.917
B9 0.000 0.391 0.432
B10 0.000 0.969 0.354
C1 0.500 0.703 0.659
C2 0.500 0.547 0.841

=====

[11]
An optimized crystal structure of GdZrBe. Source: the Alexandria database, functional PBE.

**Final energy**: -26.0 eV for the cell shown
**E_form**: 0.109 eV per atom
**Space group**: I4mm (107)

Cell: 3.292 3.292 6.282 Å, 105.19 105.19 90.00°
Element x y z (fractional)
Be1 0.681 0.681 0.363
Gd1 0.015 0.015 0.030
Zr1 0.304 0.304 0.608

=====

[12]
An optimized crystal structure of Ca2NdSm2Y6. Source: the Alexandria database, functional PBE.

**Final energy**: -55.1 eV for the cell shown
**E_form**: 0.170 eV per atom
**Space group**: C2/m (12)

Cell: 6.237 6.237 12.234 Å, 95.52 95.52 120.41°
Element x y z (fractional)
Y1 0.576 0.909 0.258
Y2 0.909 0.576 0.258
Y3 0.244 0.244 0.262
Y4 0.091 0.424 0.742
Y5 0.756 0.756 0.738
Y6 0.424 0.091 0.742
Sm1 0.667 0.333 0.500
Sm2 0.333 0.667 0.500
Nd1 0.000 0.000 0.500
Ca1 0.165 0.835 0.000
Ca2 0.835 0.165 0.000

=====

[13]
An optimized crystal structure of SnAs. Source: the Alexandria database, functional PBE.

**Final energy**: -68.0 eV for the cell shown
**E_form**: 0.073 eV per atom
**Space group**: I4/m (87)

Cell: 10.078 10.078 4.130 Å, 90.00 90.00 90.00°
Element x y z (fractional)
As1 0.853 0.889 0.500
As2 0.389 0.647 0.000
As3 0.353 0.389 0.000
As4 0.147 0.111 0.500
As5 0.111 0.853 0.500
As6 0.611 0.353 0.000
As7 0.647 0.611 0.000
As8 0.889 0.147 0.500
Sn1 0.596 0.164 0.500
Sn2 0.904 0.336 0.000
Sn3 0.164 0.404 0.500
Sn4 0.836 0.596 0.500
Sn5 0.096 0.664 0.000
Sn6 0.664 0.904 0.000
Sn7 0.404 0.836 0.500
Sn8 0.336 0.096 0.000

=====

[14]
An optimized crystal structure of AgHgSe2. Source: the Alexandria database, functional PBE.

**Final energy**: -40.4 eV for the cell shown
**ΔE_f (raw)**: 0.00 eV/atom
**Space group**: Pbcn (60)

Cell: 5.167 6.882 11.516 Å, 90.00 90.00 90.00°
Element x y z (fractional)
Hg1 0.500 0.250 0.917
Hg2 0.000 0.250 0.417
Hg3 0.500 0.750 0.083
Hg4 0.000 0.750 0.583
Se1 0.690 0.533 0.387
Se2 0.810 0.533 0.887
Se3 0.810 0.033 0.113
Se4 0.310 0.467 0.613
Se5 0.690 0.033 0.613
Se6 0.310 0.967 0.387
Se7 0.190 0.967 0.887
Se8 0.190 0.467 0.113
Ag1 0.000 0.750 0.252
Ag2 0.500 0.750 0.752
Ag3 0.000 0.250 0.748
Ag4 0.500 0.250 0.248

=====

[15]
An optimized crystal structure of PrPa2CrN4. Source: the Alexandria database, functional PBE.

**Final energy**: -153.8 eV for the cell shown
**ΔE_f (raw)**: -1.27 eV/atom
**Space group**: Cmcm (63)

Cell: 3.430 6.125 11.591 Å, 90.00 90.00 106.26°
Element x y z (fractional)
N1 0.563 0.126 0.250
N2 0.437 0.874 0.750
N3 0.000 0.000 0.000
N4 0.267 0.534 0.119
N5 0.000 0.000 0.500
N6 0.267 0.534 0.381
N7 0.733 0.466 0.881
N8 0.733 0.466 0.619
Pa1 0.367 0.735 0.554
Pa2 0.633 0.265 0.054
Pa3 0.633 0.265 0.446
Pa4 0.367 0.735 0.946
Pr1 0.899 0.799 0.250
Pr2 0.101 0.201 0.750
Cr1 0.839 0.677 0.750
Cr2 0.161 0.323 0.250

=====

[16]
An optimized crystal structure of ZrMn2Tc. Source: the Alexandria database, functional PBE.

**Final energy**: -35.9 eV for the cell shown
**E_form**: 0.333 eV per atom
**Space group**: R3m (160)

Cell: 9.119 9.119 9.119 Å, 17.79 17.79 17.79°
Element x y z (fractional)
Mn1 0.990 0.990 0.990
Mn2 0.249 0.249 0.249
Zr1 0.749 0.749 0.749
Tc1 0.512 0.512 0.512

=====

[17]
An optimized crystal structure of Ba4TaCr. Source: the Alexandria database, functional PBE.

**Final energy**: -20.5 eV for the cell shown
**E_form**: 1.442 eV per atom
**Space group**: F-43m (216)

Cell: 7.156 7.156 7.156 Å, 60.00 60.00 60.00°
Element x y z (fractional)
Ba1 0.375 0.876 0.375
Ba2 0.876 0.375 0.375
Ba3 0.375 0.375 0.876
Ba4 0.375 0.375 0.375
Ta1 0.000 0.000 0.000
Cr1 0.750 0.750 0.750

=====

[18]
An optimized crystal structure of CaTmIrPt. Source: the Alexandria database, functional PBE.

**Final energy**: -24.6 eV for the cell shown
**E_form**: -0.805 eV per atom
**Space group**: F-43m (216)

Cell: 4.840 4.840 4.840 Å, 60.00 60.00 60.00°
Element x y z (fractional)
Pt1 0.500 0.500 0.500
Ir1 0.000 0.000 0.000
Tm1 0.750 0.750 0.750
Ca1 0.250 0.250 0.250

=====

[19]
An optimized crystal structure of AcLa2Tb5Nd. Source: the Alexandria database, functional PBE.

**Final energy**: -79.6 eV for the cell shown
**E_form**: 0.233 eV per atom
**Space group**: I4/mcm (140)

Cell: 8.843 8.843 10.179 Å, 115.74 115.74 90.00°
Element x y z (fractional)
Nd1 0.250 0.750 0.500
Nd2 0.750 0.250 0.500
Tb1 0.425 0.346 0.271
Tb2 0.075 0.575 0.729
Tb3 0.500 0.500 0.000
Tb4 0.346 0.846 0.271
Tb5 0.000 0.000 0.000
Tb6 0.925 0.425 0.271
Tb7 0.846 0.925 0.271
Tb8 0.654 0.154 0.729
Tb9 0.575 0.654 0.729
Tb10 0.154 0.075 0.729
La1 0.118 0.382 0.000
La2 0.618 0.118 0.000
La3 0.382 0.882 0.000
La4 0.882 0.618 0.000
Ac1 0.250 0.250 0.500
Ac2 0.750 0.750 0.500

=====

[20]
An optimized crystal structure of NaPrErGa. Source: the Alexandria database, functional PBE.

**Final energy**: -14.2 eV for the cell shown
**E_form**: -0.124 eV per atom
**Space group**: F-43m (216)

Cell: 5.309 5.309 5.309 Å, 60.00 60.00 60.00°
Element x y z (fractional)
Pr1 0.500 0.500 0.500
Na1 0.750 0.750 0.750
Er1 0.000 0.000 0.000
Ga1 0.250 0.250 0.250

=====

[21]
An optimized crystal structure of Ca7TlN2. Source: the Alexandria database, functional PBE.

**Final energy**: -36.3 eV for the cell shown
**ΔE_f (raw)**: -0.33 eV/atom
**Space group**: Cmmm (65)

Cell: 4.754 7.793 7.793 Å, 109.01 90.00 90.00°
Element x y z (fractional)
Ca1 0.000 0.300 0.700
Ca2 0.500 0.685 0.970
Ca3 0.500 0.030 0.315
Ca4 0.000 0.700 0.300
Ca5 0.500 0.970 0.685
Ca6 0.500 0.315 0.030
Ca7 0.500 0.500 0.500
Tl1 0.000 0.000 0.000
N1 0.500 0.708 0.292
N2 0.500 0.292 0.708

=====

[22]
An optimized crystal structure of Tm8Te3P3N. Source: the Alexandria database, functional PBE.

**Final energy**: -89.4 eV for the cell shown
**ΔE_f (raw)**: -1.31 eV/atom
**Space group**: R-3m (166)

Cell: 7.884 7.887 8.329 Å, 118.25 90.01 120.01°
Element x y z (fractional)
Tm1 0.735 0.469 0.703
Tm2 0.216 0.977 0.692
Tm3 0.785 0.569 0.308
Tm4 0.239 0.023 0.308
Tm5 0.784 0.023 0.308
Tm6 0.215 0.431 0.692
Tm7 0.761 0.977 0.692
Tm8 0.265 0.531 0.297
P1 0.500 0.000 0.500
P2 0.000 0.500 0.500
P3 0.500 0.500 0.500
Te1 0.500 0.500 0.000
Te2 0.000 0.500 0.000
Te3 0.000 0.000 0.000
N1 0.000 0.000 0.500

=====

[23]
An optimized crystal structure of InHOs2. Source: the Alexandria database, functional PBE.

**Final energy**: -51.7 eV for the cell shown
**Space group**: I-42d (122)

Cell: 6.349 6.349 5.195 Å, 52.33 52.33 90.00°
Element x y z (fractional)
Os1 0.519 0.125 0.250
Os2 0.375 0.481 0.750
Os3 0.231 0.625 0.250
Os4 0.875 0.769 0.750
H1 0.500 0.500 0.000
H2 0.250 0.750 0.500
In1 0.750 0.250 0.500
In2 0.000 0.000 0.000

=====

[24]
An optimized crystal structure of Ba2ReIr. Source: the Alexandria database, functional PBE.

**Final energy**: -20.5 eV for the cell shown
**E_form**: 1.175 eV per atom
**Space group**: I4/mmm (139)

Cell: 5.750 5.750 5.750 Å, 130.62 130.62 72.42°
Element x y z (fractional)
Ba1 0.000 0.000 0.000
Ba2 0.500 0.500 0.000
Re1 0.750 0.250 0.500
Ir1 0.250 0.750 0.500

=====

no.,M_tot (Bohr magnetons per cell)
1,0.61
2,7.96
3,0.00
4,0.00
5,0.00
6,0.00
7,0.67
8,0.00
9,0.00
10,0.00
11,7.33
12,0.00
13,0.00
14,0.00
15,1.35
16,4.14
17,10.32
18,0.00
19,0.00
20,0.00
21,1.58
22,0.00
23,0.00
24,2.72